Record 1
Below is a relaxed LaTb5Dy3 crystal, with properties calculated at the PBE level.

The structure in CIF format:
```
data_LaTb5Dy3
_cell_length_a 9.398
_cell_length_b 9.398
_cell_length_c 12.898
_cell_angle_alpha 51.13
_cell_angle_beta 51.13
_cell_angle_gamma 50.67
_symmetry_space_group_name_H-M 'P 1'
_symmetry_Int_Tables_number 1
_symmetry_space_group_name_Hall 'P 1'
loop_
_atom_site_label
_atom_site_fract_x
_atom_site_fract_y
_atom_site_fract_z
_atom_site_occupancy
Tb1 0.920 0.510 0.221 1
Tb2 0.510 0.920 0.221 1
Tb3 0.680 0.320 0.000 1
Tb4 0.555 0.555 0.570 1
Tb5 0.369 0.369 0.932 1
Tb6 0.445 0.445 0.430 1
Tb7 0.631 0.631 0.068 1
Tb8 0.490 0.080 0.779 1
Tb9 0.080 0.490 0.779 1
Tb10 0.320 0.680 0.000 1
Dy1 0.302 0.302 0.317 1
Dy2 0.000 0.000 0.500 1
Dy3 0.828 0.828 0.341 1
Dy4 0.000 0.000 0.000 1
Dy5 0.698 0.698 0.683 1
Dy6 0.172 0.172 0.659 1
La1 0.899 0.899 0.863 1
La2 0.101 0.101 0.137 1
```

Computed properties:
The energy relative to the elements is 3.69 eV/f.u.


Record 2
Below is a relaxed ThPaCuPt crystal, with properties calculated at the PBE level.

The structure in CIF format:
```
data_ThPaCuPt
_cell_length_a 5.006
_cell_length_b 5.006
_cell_length_c 5.006
_cell_angle_alpha 60.00
_cell_angle_beta 60.00
_cell_angle_gamma 60.00
_symmetry_space_group_name_H-M 'P 1'
_symmetry_Int_Tables_number 1
_symmetry_space_group_name_Hall 'P 1'
loop_
_atom_site_label
_atom_site_fract_x
_atom_site_fract_y
_atom_site_fract_z
_atom_site_occupancy
Cu1 0.250 0.250 0.250 1
Th1 0.500 0.500 0.500 1
Pt1 0.750 0.750 0.750 1
Pa1 0.000 0.000 0.000 1
```

Computed properties:
The energy relative to the elements is -1.53 eV/f.u.


Record 3
Below is a relaxed LiNpRh2 crystal, with properties calculated at the PBE level.

The structure in CIF format:
```
data_LiNpRh2
_cell_length_a 4.515
_cell_length_b 4.515
_cell_length_c 4.515
_cell_angle_alpha 60.00
_cell_angle_beta 60.00
_cell_angle_gamma 60.00
_symmetry_space_group_name_H-M 'P 1'
_symmetry_Int_Tables_number 1
_symmetry_space_group_name_Hall 'P 1'
loop_
_atom_site_label
_atom_site_fract_x
_atom_site_fract_y
_atom_site_fract_z
_atom_site_occupancy
Li1 0.750 0.750 0.750 1
Rh1 0.000 0.000 0.000 1
Rh2 0.500 0.500 0.500 1
Np1 0.250 0.250 0.250 1
```

Computed properties:
The energy relative to the elements is -0.52 eV/f.u.


Record 4
Below is a relaxed LaPr4NdSm2 crystal, with properties calculated at the PBE level.

The structure in CIF format:
```
data_LaPr4NdSm2
_cell_length_a 3.702
_cell_length_b 12.272
_cell_length_c 6.394
_cell_angle_alpha 79.74
_cell_angle_beta 90.00
_cell_angle_gamma 90.00
_symmetry_space_group_name_H-M 'P 1'
_symmetry_Int_Tables_number 1
_symmetry_space_group_name_Hall 'P 1'
loop_
_atom_site_label
_atom_site_fract_x
_atom_site_fract_y
_atom_site_fract_z
_atom_site_occupancy
La1 0.500 0.500 0.000 1
Pr1 0.000 0.753 0.749 1
Pr2 0.500 0.248 0.750 1
Pr3 0.500 0.752 0.250 1
Pr4 0.000 0.247 0.251 1
Nd1 0.000 0.500 0.500 1
Sm1 0.000 0.000 0.000 1
Sm2 0.500 0.000 0.500 1
```

Computed properties:
The energy relative to the elements is 0.13 eV/f.u.


Record 5
Below is a relaxed Tm3Cr2Fe7 crystal, with properties calculated at the PBE level.

The structure in CIF format:
```
data_Tm3Cr2Fe7
_cell_length_a 5.050
_cell_length_b 5.050
_cell_length_c 8.500
_cell_angle_alpha 72.72
_cell_angle_beta 72.72
_cell_angle_gamma 60.00
_symmetry_space_group_name_H-M 'P 1'
_symmetry_Int_Tables_number 1
_symmetry_space_group_name_Hall 'P 1'
loop_
_atom_site_label
_atom_site_fract_x
_atom_site_fract_y
_atom_site_fract_z
_atom_site_occupancy
Fe1 0.420 0.420 0.243 1
Fe2 0.580 0.580 0.757 1
Fe3 0.083 0.580 0.757 1
Fe4 0.500 0.500 0.500 1
Fe5 0.917 0.420 0.243 1
Fe6 0.580 0.083 0.757 1
Fe7 0.420 0.917 0.243 1
Tm1 0.142 0.142 0.574 1
Tm2 0.858 0.858 0.426 1
Tm3 0.000 0.000 0.000 1
Cr1 0.668 0.668 0.995 1
Cr2 0.332 0.332 0.005 1
```

Computed properties:
The energy relative to the elements is -0.61 eV/f.u.


Record 6
Below is a relaxed La6CoSe2I3 crystal, with properties calculated at the PBE level.

The structure in CIF format:
```
data_La6CoSe2I3
_cell_length_a 7.556
_cell_length_b 7.556
_cell_length_c 8.082
_cell_angle_alpha 99.29
_cell_angle_beta 99.29
_cell_angle_gamma 119.58
_symmetry_space_group_name_H-M 'P 1'
_symmetry_Int_Tables_number 1
_symmetry_space_group_name_Hall 'P 1'
loop_
_atom_site_label
_atom_site_fract_x
_atom_site_fract_y
_atom_site_fract_z
_atom_site_occupancy
Se1 0.667 0.333 0.000 1
Se2 0.333 0.667 0.000 1
La1 0.933 0.629 0.804 1
La2 0.629 0.933 0.804 1
La3 0.748 0.748 0.212 1
La4 0.252 0.252 0.788 1
La5 0.067 0.371 0.196 1
La6 0.371 0.067 0.196 1
I1 0.179 0.821 0.500 1
I2 0.821 0.179 0.500 1
I3 0.500 0.500 0.500 1
Co1 0.000 0.000 0.000 1
```


no.,energy (eV per atom)
1,-4.244
2,-7.145
3,-7.519
4,-4.766
5,-7.709
6,-5.250